Density functional theory data (PBE) for LiTl2Rh after structural relaxation.

For the offset from the most stable computed form, the calculation gives 82 meV/atom. For the total magnetization, the calculation gives 0.00 μB per formula unit. The value obtained for the density of states at the Fermi level is 2.9 states/eV per cell. As for the theoretical density: 11.18 g/cm³.

Cell and atoms, written as CIF:
```
data_LiTl2Rh
_cell_length_a 10.434
_cell_length_b 3.773
_cell_length_c 4.286
_cell_angle_alpha 90.00
_cell_angle_beta 114.12
_cell_angle_gamma 90.00
_symmetry_space_group_name_H-M 'C 1 m 1'
_symmetry_Int_Tables_number 8
_symmetry_space_group_name_Hall 'C -2y'
loop_
_atom_site_label
_atom_site_type_symbol
_atom_site_fract_x
_atom_site_fract_y
_atom_site_fract_z
Li1 Li 0.000 0.000 0.000
Tl1 Tl 0.236 0.000 0.737
Tl2 Tl 0.474 0.000 0.474
Rh1 Rh 0.230 0.500 0.232
```

Density functional theory data (PBE) for LiTl2Rh after structural relaxation.

For the offset from the most stable computed form, the calculation gives 252 meV/atom. For the total magnetization, the calculation gives 0.00 μB per formula unit. The value obtained for the density of states at the Fermi level is 10.8 states/eV per cell. As for the theoretical density: 10.12 g/cm³.

Cell and atoms, written as CIF:
```
data_LiTl2Rh
_cell_length_a 3.2922
_cell_length_b 3.2922
_cell_length_c 27.2012
_cell_angle_alpha 90.00
_cell_angle_beta 90.00
_cell_angle_gamma 120.00
_symmetry_space_group_name_H-M 'R 3 m'
_symmetry_Int_Tables_number 160
_symmetry_space_group_name_Hall 'R 3 -2"'
loop_
_atom_site_label
_atom_site_type_symbol
_atom_site_fract_x
_atom_site_fract_y
_atom_site_fract_z
Li1 Li 0.0000 0.0000 0.0000
Tl1 Tl 0.0000 0.0000 0.5267
Tl2 Tl 0.0000 0.0000 0.7552
Rh1 Rh 0.0000 0.0000 0.2683
```

Density functional theory data (PBE) for Li7Tl4Rh after structural relaxation.

Its uncorrected energy is -2.60 eV per atom. For the total magnetization, the calculation gives 0.00 μB per formula unit. The value obtained for the density of states at the Fermi level is 9.1 states/eV per cell. As for the theoretical density: 6.89 g/cm³.

Cell and atoms, written as CIF:
```
data_Li7Tl4Rh
_cell_length_a 14.581
_cell_length_b 4.688
_cell_length_c 7.730
_cell_angle_alpha 90.00
_cell_angle_beta 117.93
_cell_angle_gamma 90.00
_symmetry_space_group_name_H-M 'C 1 2/m 1'
_symmetry_Int_Tables_number 12
_symmetry_space_group_name_Hall '-C 2y'
loop_
_atom_site_label
_atom_site_type_symbol
_atom_site_fract_x
_atom_site_fract_y
_atom_site_fract_z
Li1 Li 0.000 0.000 0.000
Li2 Li 0.089 0.500 0.382
Li3 Li 0.166 0.500 0.951
Li4 Li 0.208 0.000 0.613
Tl1 Tl 0.054 0.000 0.729
Tl2 Tl 0.192 0.000 0.233
Rh1 Rh 0.000 0.500 0.000
```

Density functional theory data (PBE) for Li5TlRh after structural relaxation.

Its uncorrected energy is -2.81 eV per atom. For the total magnetization, the calculation gives 0.00 μB per formula unit. The value obtained for the density of states at the Fermi level is 3.9 states/eV per cell. As for the theoretical density: 4.73 g/cm³.

Cell and atoms, written as CIF:
```
data_Li5TlRh
_cell_length_a 3.822
_cell_length_b 3.822
_cell_length_c 8.219
_cell_angle_alpha 90.00
_cell_angle_beta 90.00
_cell_angle_gamma 90.00
_symmetry_space_group_name_H-M 'P 4/m m m'
_symmetry_Int_Tables_number 123
_symmetry_space_group_name_Hall '-P 4 2'
loop_
_atom_site_label
_atom_site_type_symbol
_atom_site_fract_x
_atom_site_fract_y
_atom_site_fract_z
Li1 Li 0.000 0.000 0.000
Li2 Li 0.000 0.500 0.229
Tl1 Tl 0.000 0.000 0.500
Rh1 Rh 0.500 0.500 0.000
```

Density functional theory data (PBE) for Li6Tl2Rh after structural relaxation.

For the offset from the most stable computed form, the calculation gives 0 meV/atom. For the total magnetization, the calculation gives 0.00 μB per formula unit. The value obtained for the density of states at the Fermi level is 6.8 states/eV per cell. As for the theoretical density: 5.78 g/cm³.

Cell and atoms, written as CIF:
```
data_Li6Tl2Rh
_cell_length_a 13.616
_cell_length_b 4.402
_cell_length_c 5.771
_cell_angle_alpha 90.00
_cell_angle_beta 113.32
_cell_angle_gamma 90.00
_symmetry_space_group_name_H-M 'C 1 2/m 1'
_symmetry_Int_Tables_number 12
_symmetry_space_group_name_Hall '-C 2y'
loop_
_atom_site_label
_atom_site_type_symbol
_atom_site_fract_x
_atom_site_fract_y
_atom_site_fract_z
Li1 Li 0.100 0.000 0.171
Li2 Li 0.151 0.500 0.467
Li3 Li 0.204 0.000 0.813
Tl1 Tl 0.072 0.500 0.840
Rh1 Rh 0.000 0.000 0.500
```

Density functional theory data (PBE) for LiTl2Rh after structural relaxation.

For the offset from the most stable computed form, the calculation gives 99 meV/atom. For the total magnetization, the calculation gives 0.00 μB per formula unit. The value obtained for the density of states at the Fermi level is 2.8 states/eV per cell. As for the theoretical density: 11.05 g/cm³.

Cell and atoms, written as CIF:
```
data_LiTl2Rh
_cell_length_a 3.333
_cell_length_b 4.497
_cell_length_c 5.293
_cell_angle_alpha 90.00
_cell_angle_beta 100.82
_cell_angle_gamma 90.00
_symmetry_space_group_name_H-M 'P 1 m 1'
_symmetry_Int_Tables_number 6
_symmetry_space_group_name_Hall 'P -2y'
loop_
_atom_site_label
_atom_site_type_symbol
_atom_site_fract_x
_atom_site_fract_y
_atom_site_fract_z
Li1 Li 0.000 0.000 0.000
Tl1 Tl 0.442 0.500 0.855
Tl2 Tl 0.618 0.000 0.446
Rh1 Rh 0.069 0.500 0.308
```

Density functional theory data (PBE) for Li4TlRh2 after structural relaxation.

Its uncorrected energy is -3.63 eV per atom. For the total magnetization, the calculation gives 0.00 μB per formula unit. The value obtained for the density of states at the Fermi level is 6.3 states/eV per cell. As for the theoretical density: 6.69 g/cm³.

Cell and atoms, written as CIF:
```
data_Li4TlRh2
_cell_length_a 6.596
_cell_length_b 6.596
_cell_length_c 4.996
_cell_angle_alpha 90.00
_cell_angle_beta 90.00
_cell_angle_gamma 90.00
_symmetry_space_group_name_H-M 'I 4/m m m'
_symmetry_Int_Tables_number 139
_symmetry_space_group_name_Hall '-I 4 2'
loop_
_atom_site_label
_atom_site_type_symbol
_atom_site_fract_x
_atom_site_fract_y
_atom_site_fract_z
Li1 Li 0.201 0.201 0.000
Tl1 Tl 0.000 0.000 0.500
Rh1 Rh 0.000 0.500 0.250
```

Density functional theory data (PBE) for LiTl2Rh2 after structural relaxation.

For the offset from the most stable computed form, the calculation gives 214 meV/atom. For the total magnetization, the calculation gives 0.00 μB per formula unit. The value obtained for the density of states at the Fermi level is 7.2 states/eV per cell. As for the theoretical density: 9.92 g/cm³.

Cell and atoms, written as CIF:
```
data_LiTl2Rh2
_cell_length_a 3.863
_cell_length_b 3.863
_cell_length_c 13.942
_cell_angle_alpha 90.00
_cell_angle_beta 90.00
_cell_angle_gamma 90.00
_symmetry_space_group_name_H-M 'I 4/m m m'
_symmetry_Int_Tables_number 139
_symmetry_space_group_name_Hall '-I 4 2'
loop_
_atom_site_label
_atom_site_type_symbol
_atom_site_fract_x
_atom_site_fract_y
_atom_site_fract_z
Li1 Li 0.000 0.000 0.000
Tl1 Tl 0.000 0.000 0.392
Rh1 Rh 0.000 0.500 0.250
```

Density functional theory data (PBE) for Li5Tl2Rh after structural relaxation.

Its uncorrected energy is -2.87 eV per atom. For the total magnetization, the calculation gives 0.00 μB per formula unit. The value obtained for the density of states at the Fermi level is 6.1 states/eV per cell. As for the theoretical density: 6.56 g/cm³.

Cell and atoms, written as CIF:
```
data_Li5Tl2Rh
_cell_length_a 4.792
_cell_length_b 4.792
_cell_length_c 12.042
_cell_angle_alpha 90.00
_cell_angle_beta 90.00
_cell_angle_gamma 90.00
_symmetry_space_group_name_H-M 'I 4/m m m'
_symmetry_Int_Tables_number 139
_symmetry_space_group_name_Hall '-I 4 2'
loop_
_atom_site_label
_atom_site_type_symbol
_atom_site_fract_x
_atom_site_fract_y
_atom_site_fract_z
Li1 Li 0.000 0.000 0.000
Li2 Li 0.000 0.500 0.111
Tl1 Tl 0.000 0.000 0.263
Rh1 Rh 0.000 0.000 0.500
```

Density functional theory data (PBE) for LiTl4Rh after structural relaxation.

For the offset from the most stable computed form, the calculation gives 580 meV/atom. For the total magnetization, the calculation gives 0.00 μB per formula unit. The value obtained for the density of states at the Fermi level is 21.2 states/eV per cell. As for the theoretical density: 9.53 g/cm³.

Cell and atoms, written as CIF:
```
data_LiTl4Rh
_cell_length_a 8.647
_cell_length_b 8.647
_cell_length_c 8.647
_cell_angle_alpha 90.00
_cell_angle_beta 90.00
_cell_angle_gamma 90.00
_symmetry_space_group_name_H-M 'F -4 3 m'
_symmetry_Int_Tables_number 216
_symmetry_space_group_name_Hall 'F -4 2 3'
loop_
_atom_site_label
_atom_site_type_symbol
_atom_site_fract_x
_atom_site_fract_y
_atom_site_fract_z
Li1 Li 0.000 0.000 0.000
Tl1 Tl 0.125 0.125 0.375
Rh1 Rh 0.250 0.250 0.750
```

Density functional theory data (PBE) for Li6TlRh2 after structural relaxation.

For the offset from the most stable computed form, the calculation gives 63 meV/atom. For the total magnetization, the calculation gives 0.00 μB per formula unit. The value obtained for the density of states at the Fermi level is 5.7 states/eV per cell. As for the theoretical density: 5.52 g/cm³.

Cell and atoms, written as CIF:
```
data_Li6TlRh2
_cell_length_a 13.197
_cell_length_b 7.590
_cell_length_c 2.713
_cell_angle_alpha 90.00
_cell_angle_beta 90.40
_cell_angle_gamma 90.00
_symmetry_space_group_name_H-M 'C 1 2/m 1'
_symmetry_Int_Tables_number 12
_symmetry_space_group_name_Hall '-C 2y'
loop_
_atom_site_label
_atom_site_type_symbol
_atom_site_fract_x
_atom_site_fract_y
_atom_site_fract_z
Li1 Li 0.000 0.152 0.000
Li2 Li 0.174 0.327 0.007
Tl1 Tl 0.000 0.500 0.500
Rh1 Rh 0.166 0.000 0.500
```

Density functional theory data (PBE) for LiTl2Rh after structural relaxation.

For the offset from the most stable computed form, the calculation gives 109 meV/atom. For the total magnetization, the calculation gives 0.00 μB per formula unit. The value obtained for the density of states at the Fermi level is 6.7 states/eV per cell. As for the theoretical density: 9.55 g/cm³.

Cell and atoms, written as CIF:
```
data_LiTl2Rh
_cell_length_a 4.4001
_cell_length_b 4.4001
_cell_length_c 16.1258
_cell_angle_alpha 90.00
_cell_angle_beta 90.00
_cell_angle_gamma 120.00
_symmetry_space_group_name_H-M 'R 3 m'
_symmetry_Int_Tables_number 160
_symmetry_space_group_name_Hall 'R 3 -2"'
loop_
_atom_site_label
_atom_site_type_symbol
_atom_site_fract_x
_atom_site_fract_y
_atom_site_fract_z
Li1 Li 0.0000 0.0000 0.0000
Tl1 Tl 0.0000 0.0000 0.5785
Tl2 Tl 0.0000 0.0000 0.7743
Rh1 Rh 0.0000 0.0000 0.1807
```

Among the records above, which one has the lowest theoretical density?
Li5TlRh

Please write out number 12 again, unchanged.
Density functional theory data (PBE) for LiTl2Rh after structural relaxation.

For the offset from the most stable computed form, the calculation gives 109 meV/atom. For the total magnetization, the calculation gives 0.00 μB per formula unit. The value obtained for the density of states at the Fermi level is 6.7 states/eV per cell. As for the theoretical density: 9.55 g/cm³.

Cell and atoms, written as CIF:
```
data_LiTl2Rh
_cell_length_a 4.4001
_cell_length_b 4.4001
_cell_length_c 16.1258
_cell_angle_alpha 90.00
_cell_angle_beta 90.00
_cell_angle_gamma 120.00
_symmetry_space_group_name_H-M 'R 3 m'
_symmetry_Int_Tables_number 160
_symmetry_space_group_name_Hall 'R 3 -2"'
loop_
_atom_site_label
_atom_site_type_symbol
_atom_site_fract_x
_atom_site_fract_y
_atom_site_fract_z
Li1 Li 0.0000 0.0000 0.0000
Tl1 Tl 0.0000 0.0000 0.5785
Tl2 Tl 0.0000 0.0000 0.7743
Rh1 Rh 0.0000 0.0000 0.1807
```

Which of these has the lowest theoretical density?
Li5TlRh

What is the theoretical density in the twelfth record?
9.55 g/cm³